! GGA-PBE Ca2BeCu2, optimized geometry; values from VASP
! DOS(E_F) in states/eV/f.u.: 3.0
! Energy of formation in eV/atom: 0.2204
! Size of the total moment in μB per cell: 0.0
! Distance to the lowest polymorph of the same formula in eV/atom: 0.086
&SYSTEM
  ibrav = 0, nat = 5, ntyp = 3
/
ATOMIC_SPECIES
Be 9.01 Be.upf
Cu 63.55 Cu.upf
Ca 40.08 Ca.upf
CELL_PARAMETERS angstrom
-1.743 1.743 8.588
1.743 -1.743 8.588
1.743 1.743 -8.588
ATOMIC_POSITIONS crystal
Be 0.000 0.000 0.000
Cu 0.250 0.750 0.500
Cu 0.750 0.250 0.500
Ca 0.396 0.396 0.000
Ca 0.604 0.604 0.000

=====

! GGA-PBE V2GeBrN, optimized geometry; values from VASP
! DOS(E_F) in states/eV/f.u.: 7.0
! E_form (uncorrected) in eV/atom: 2.252
! Size of the total moment in μB per cell: 0.2
&SYSTEM
  ibrav = 0, nat = 5, ntyp = 4
/
ATOMIC_SPECIES
V 50.94 V.upf
N 14.01 N.upf
Br 79.90 Br.upf
Ge 72.64 Ge.upf
CELL_PARAMETERS angstrom
4.458 0.000 0.000
0.000 5.132 0.000
0.000 0.000 4.458
ATOMIC_POSITIONS crystal
V 0.500 0.000 0.000
N 0.500 0.500 0.500
Br 0.000 0.000 0.000
V 0.000 0.000 0.500
Ge 0.000 0.500 0.000

=====

! GGA-PBE DyTh2Rh5, optimized geometry; values from VASP
! DOS(E_F) in states/eV/f.u.: 4.4
! Energy of formation in eV/atom: -0.8213
! Size of the total moment in μB per cell: 0.0
&SYSTEM
  ibrav = 0, nat = 16, ntyp = 3
/
ATOMIC_SPECIES
Rh 102.91 Rh.upf
Th 232.04 Th.upf
Dy 162.50 Dy.upf
CELL_PARAMETERS angstrom
4.480 0.000 0.000
0.000 5.951 0.000
0.000 0.000 11.703
ATOMIC_POSITIONS crystal
Rh 0.500 0.177 0.109
Th 0.500 0.148 0.352
Dy 0.000 0.000 0.000
Th 0.500 0.852 0.648
Rh 0.500 0.323 0.609
Rh 0.000 0.898 0.252
Dy 0.000 0.500 0.500
Rh 0.000 0.000 0.500
Rh 0.500 0.823 0.891
Th 0.500 0.648 0.148
Rh 0.000 0.602 0.752
Rh 0.000 0.500 0.000
Th 0.500 0.352 0.852
Rh 0.000 0.102 0.748
Rh 0.500 0.677 0.391
Rh 0.000 0.398 0.248

=====

! GGA-PBE AcSbRhF, optimized geometry; values from VASP
! DOS(E_F) in states/eV/f.u.: 2.8
! E_form (uncorrected) in eV/atom: -1.900
! Size of the total moment in μB per cell: 0.0
&SYSTEM
  ibrav = 0, nat = 8, ntyp = 4
/
ATOMIC_SPECIES
Ac 227.00 Ac.upf
Rh 102.91 Rh.upf
Sb 121.76 Sb.upf
F 19.00 F.upf
CELL_PARAMETERS angstrom
4.508 0.000 0.000
0.000 4.508 0.000
0.000 0.000 8.460
ATOMIC_POSITIONS crystal
Ac 0.500 0.000 0.683
Rh 0.000 0.000 0.000
Sb 0.500 0.000 0.164
Rh 0.500 0.500 0.000
Ac 0.000 0.500 0.317
F 0.500 0.500 0.500
F 0.000 0.000 0.500
Sb 0.000 0.500 0.836

=====

Please write out number 1 again, unchanged.
! GGA-PBE Ca2BeCu2, optimized geometry; values from VASP
! DOS(E_F) in states/eV/f.u.: 3.0
! Energy of formation in eV/atom: 0.2204
! Size of the total moment in μB per cell: 0.0
! Distance to the lowest polymorph of the same formula in eV/atom: 0.086
&SYSTEM
  ibrav = 0, nat = 5, ntyp = 3
/
ATOMIC_SPECIES
Be 9.01 Be.upf
Cu 63.55 Cu.upf
Ca 40.08 Ca.upf
CELL_PARAMETERS angstrom
-1.743 1.743 8.588
1.743 -1.743 8.588
1.743 1.743 -8.588
ATOMIC_POSITIONS crystal
Be 0.000 0.000 0.000
Cu 0.250 0.750 0.500
Cu 0.750 0.250 0.500
Ca 0.396 0.396 0.000
Ca 0.604 0.604 0.000